Run w
5
Lattice="5.5318 0.0000 0.0000 0.0000 5.5318 0.0000 0.0000 0.0000 5.5318" Properties=species:S:1:pos:R:3 comment="NaPbSe3 | Alexandria | PBE-GGA | optimized geometry" sg="Pm-3m (221)" mass_density_g_cm3=4.582 m_tot_mub_per_cell=0.00 pbc="T T T"
Na 0.0000 0.0000 0.0000
Pb 2.7659 2.7659 2.7659
Se 0.0000 2.7659 2.7659
Se 2.7659 0.0000 2.7659
Se 2.7659 2.7659 0.0000



Run x
5
Lattice="5.2053 0.0000 0.0000 0.0000 5.2053 0.0000 0.0000 0.0000 5.2053" Properties=species:S:1:pos:R:3 comment="NaPbSe3 | Alexandria | PBE-GGA | optimized geometry" sg="Pm-3m (221)" mass_density_g_cm3=5.499 m_tot_mub_per_cell=2.12 pbc="T T T"
Na 0.0000 0.0000 0.0000
Pb 2.6027 2.6027 2.6027
Se 0.0000 0.0000 2.6027
Se 0.0000 2.6027 0.0000
Se 2.6027 0.0000 0.0000



Which is most stable? The ranking, best first, is run w, run x.



Run w
5
Lattice="5.7776 0.0000 0.0000 0.0000 5.7776 0.0000 0.0000 0.0000 5.7776" Properties=species:S:1:pos:R:3 comment="NaPb3Se | Alexandria | PBE-GGA | optimized geometry" sg="Pm-3m (221)" mass_density_g_cm3=6.230 m_tot_mub_per_cell=0.00 pbc="T T T"
Na 0.0000 0.0000 0.0000
Pb 0.0000 2.8888 2.8888
Pb 2.8888 0.0000 2.8888
Pb 2.8888 2.8888 0.0000
Se 2.8888 2.8888 2.8888



Run x
5
Lattice="5.5091 0.0000 0.0000 0.0000 5.5091 0.0000 0.0000 0.0000 5.5091" Properties=species:S:1:pos:R:3 comment="NaPb3Se | Alexandria | PBE-GGA | optimized geometry" sg="Pm-3m (221)" mass_density_g_cm3=7.186 m_tot_mub_per_cell=0.00 pbc="T T T"
Na 0.0000 0.0000 0.0000
Pb 0.0000 0.0000 2.7545
Pb 0.0000 2.7545 0.0000
Pb 2.7545 0.0000 0.0000
Se 2.7545 2.7545 2.7545



Which is most stable? The ranking, best first, is run w, run x.



Run w
7
Lattice="7.3519 -2.2350 0.0000 7.3519 2.2350 0.0000 -2.6186 0.0000 7.1205" Properties=species:S:1:pos:R:3 comment="Na2Pb2Se3 | Alexandria | PBE-GGA | optimized geometry" sg="C2/m (12)" mass_density_g_cm3=4.948 m_tot_mub_per_cell=0.00 pbc="T T T"
Na 1.5544 0.0000 2.3969
Na 10.5309 0.0000 4.7236
Pb 5.3041 0.0000 0.7300
Pb 6.7812 0.0000 6.3905
Se 0.0000 0.0000 0.0000
Se 1.3846 0.0000 5.3176
Se 10.7007 0.0000 1.8029



Run x
14
Lattice="8.0771 0.0000 0.0000 0.0000 7.9438 0.0000 -4.0640 0.0000 7.2491" Properties=species:S:1:pos:R:3 comment="Na2Pb2Se3 | Alexandria | PBE-GGA | optimized geometry" sg="P2_1/c (14)" mass_density_g_cm3=4.979 m_tot_mub_per_cell=0.00 pbc="T T T"
Na -0.6285 1.0875 3.0421
Na -2.6605 2.8844 6.6666
Na 6.6736 5.0594 0.5825
Na 4.6417 6.8563 4.2071
Pb 0.8488 5.3188 4.5653
Pb 2.8807 6.5970 0.9407
Pb 1.1324 1.3469 6.3084
Pb 3.1644 2.6250 2.6838
Se -1.5189 0.3520 5.8306
Se 0.5131 3.6199 2.2060
Se 2.0066 0.0000 3.6246
Se 4.0385 3.9719 0.0000
Se 3.5000 4.3239 5.0431
Se 5.5320 7.5918 1.4186



Which is most stable? The ranking, best first, is run w, run x.



Run w
5
Lattice="5.8651 0.0000 0.0000 0.0000 5.8651 0.0000 0.0000 0.0000 5.8651" Properties=species:S:1:pos:R:3 comment="Na3SiPb | Alexandria | PBE-GGA | optimized geometry" sg="Pm-3m (221)" mass_density_g_cm3=2.504 m_tot_mub_per_cell=0.99 pbc="T T T"
Na 0.0000 0.0000 2.9325
Na 0.0000 2.9325 0.0000
Na 2.9325 0.0000 0.0000
Si 2.9325 2.9325 2.9325
Pb 0.0000 0.0000 0.0000



Run x
5
Lattice="5.4938 0.0000 0.0000 0.0000 5.4938 0.0000 0.0000 0.0000 5.4938" Properties=species:S:1:pos:R:3 comment="Na3SiPb | Alexandria | PBE-GGA | optimized geometry" sg="Pm-3m (221)" mass_density_g_cm3=3.047 m_tot_mub_per_cell=0.00 pbc="T T T"
Na 0.0000 0.0000 2.7469
Na 0.0000 2.7469 0.0000
Na 2.7469 0.0000 0.0000
Si 0.0000 0.0000 0.0000
Pb 2.7469 2.7469 2.7469



Which is most stable? The ranking, best first, is run x, run w.



Run w
5
Lattice="5.0191 0.0000 0.0000 0.0000 5.0191 0.0000 0.0000 0.0000 5.0191" Properties=species:S:1:pos:R:3 comment="NaSi3Pb | Alexandria | PBE-GGA | optimized geometry" sg="Pm-3m (221)" mass_density_g_cm3=4.130 m_tot_mub_per_cell=0.00 pbc="T T T"
Na 0.0000 0.0000 0.0000
Si 0.0000 0.0000 2.5095
Si 0.0000 2.5095 0.0000
Si 2.5095 0.0000 0.0000
Pb 2.5095 2.5095 2.5095



Run x
5
Lattice="5.4034 0.0000 0.0000 0.0000 5.4034 0.0000 0.0000 0.0000 5.4034" Properties=species:S:1:pos:R:3 comment="NaSi3Pb | Alexandria | PBE-GGA | optimized geometry" sg="Pm-3m (221)" mass_density_g_cm3=3.310 m_tot_mub_per_cell=0.00 pbc="T T T"
Na 0.0000 0.0000 0.0000
Si 0.0000 2.7017 2.7017
Si 2.7017 0.0000 2.7017
Si 2.7017 2.7017 0.0000
Pb 2.7017 2.7017 2.7017



Which is most stable? The ranking, best first, is run x, run w.



Run w
4
Lattice="4.3552 0.0000 0.0000 0.0000 4.9709 0.0000 0.0000 0.0000 5.2230" Properties=species:S:1:pos:R:3 comment="NaSmTlPb | Alexandria | PBE-GGA | optimized geometry" sg="Pmmm (47)" mass_density_g_cm3=8.590 m_tot_mub_per_cell=0.00 pbc="T T T"
Na 0.0000 0.0000 0.0000
Sm 0.0000 2.4854 2.6115
Tl 2.1776 2.4854 0.0000
Pb 2.1776 0.0000 2.6115



Run x
4
Lattice="0.0000 3.8516 3.8516 3.8516 0.0000 3.8516 3.8516 3.8516 0.0000" Properties=species:S:1:pos:R:3 comment="NaSmTlPb | Alexandria | PBE-GGA | optimized geometry" sg="F-43m (216)" mass_density_g_cm3=8.500 m_tot_mub_per_cell=0.00 pbc="T T T"
Na 0.0000 0.0000 0.0000
Sm 3.8516 3.8516 3.8516
Tl 1.9258 1.9258 1.9258
Pb 5.7774 5.7774 5.7774



Which is most stable? The ranking, best first, is run w, run x.